Below is Na2NiF5 after structural relaxation, with properties calculated at the GGA+U level.

Space group = C2/c (15)
Raw total energy = -65.7 eV per cell
Density of states at the Fermi level = 0.000 states/eV per atom
Spin magnetization = 3.045 μB per formula unit

abc: 6.3750 6.3750 7.4622
angles: 110.46 110.46 49.61
Atoms (fractional coordinates):
Na1 0.1275 0.1647 0.2784
Na2 0.1647 0.1275 0.7784
Na3 0.8353 0.8725 0.2216
Na4 0.8725 0.8353 0.7216
Ni1 0.5000 0.5000 0.0000
Ni2 0.5000 0.5000 0.5000
F1 0.1240 0.7147 0.0244
F2 0.1871 0.4987 0.3747
F3 0.2853 0.8760 0.4756
F4 0.3527 0.6473 0.7500
F5 0.4987 0.1871 0.8747
F6 0.5013 0.8129 0.1253
F7 0.6473 0.3527 0.2500
F8 0.7147 0.1240 0.5244
F9 0.8129 0.5013 0.6253
F10 0.8760 0.2853 0.9756